No. 1
Compound: VCoRuRh
Source: Alexandria via LeMat-Bulk
Functional: GGA-PBE
Structure: relaxed

Cell lengths 3.621, 3.746, 3.794 Å; angles 90.00, 90.00, 90.00 degrees
Sites, in units of the cell vectors:
V (0.500, 0.500, 0.000)
Co (0.500, 0.000, 0.500)
Ru (0.000, 0.000, 0.000)
Rh (0.000, 0.500, 0.500)

- Symmetry: No. 47
- ΔH_f (0 K): -0.207 eV per atom
- Distance to the lowest polymorph of the same formula: 0.00 eV/f.u.
- Total moment: 0.00 μB per formula unit



No. 2
Compound: MnBeCr2
Source: Alexandria via LeMat-Bulk
Functional: GGA-PBE
Structure: relaxed

Cell lengths 4.434, 4.434, 2.412 Å; angles 90.00, 90.00, 115.78 degrees
Site moments in Bohr magnetons follow the coordinates.
Sites, in units of the cell vectors:
Cr (0.000, 0.000, 0.000)  -0.05
Cr (0.500, 0.500, 0.000)  -0.05
Mn (0.500, 0.000, 0.500)  0.78
Be (0.000, 0.500, 0.500)  -0.01

- Symmetry: No. 65
- ΔH_f (0 K): 0.125 eV per atom
- Total moment: 0.68 μB per formula unit



No. 3
Compound: Ca2MgSi
Source: Alexandria via LeMat-Bulk
Functional: GGA-PBE
Structure: relaxed

Cell lengths 5.885, 5.885, 5.885 Å; angles 133.86, 133.86, 67.30 degrees
Sites, in units of the cell vectors:
Ca (0.000, 0.000, 0.000)
Ca (0.250, 0.750, 0.500)
Mg (0.500, 0.500, 0.000)
Si (0.750, 0.250, 0.500)

- Symmetry: No. 119
- Total moment: 0.00 μB per formula unit
- Formation energy from raw total energies: -0.049 eV per atom



No. 4
Compound: YPbO2
Source: Alexandria via LeMat-Bulk
Functional: GGA-PBE
Structure: relaxed

Cell lengths 5.690, 5.690, 6.622 Å; angles 64.56, 64.56, 90.00 degrees
Sites, in units of the cell vectors:
Pb (0.000, 0.000, 0.000)
Pb (0.750, 0.250, 0.500)
Y (0.500, 0.500, 0.000)
Y (0.250, 0.750, 0.500)
O (0.546, 0.125, 0.250)
O (0.204, 0.625, 0.250)
O (0.375, 0.454, 0.750)
O (0.875, 0.796, 0.750)

- Symmetry: No. 122
- Total moment: 0.00 μB per formula unit
- Formation energy from raw total energies: -2.040 eV per atom



No. 5
Compound: Pr8Ir3BrCl4
Source: Alexandria via LeMat-Bulk
Functional: GGA-PBE
Structure: relaxed

Cell lengths 8.509, 8.859, 8.510 Å; angles 118.70, 120.00, 90.00 degrees
Sites, in units of the cell vectors:
Pr (0.252, 0.716, 0.964)
Pr (0.252, 0.716, 0.504)
Pr (0.266, 0.298, 0.532)
Pr (0.712, 0.716, 0.964)
Pr (0.288, 0.284, 0.036)
Pr (0.734, 0.702, 0.468)
Pr (0.748, 0.284, 0.496)
Pr (0.748, 0.284, 0.036)
Ir (0.500, 0.500, 0.000)
Ir (0.500, 0.500, 0.500)
Ir (0.000, 0.500, 0.500)
Br (0.000, 0.500, 0.000)
Cl (0.500, 0.000, 0.000)
Cl (0.500, 0.000, 0.500)
Cl (0.000, 0.000, 0.000)
Cl (0.000, 0.000, 0.500)

- Symmetry: No. 166
- Total moment: 0.00 μB per formula unit
- Formation energy from raw total energies: -1.176 eV per atom



No. 6
Compound: Li3Hg3Pb
Source: Alexandria via LeMat-Bulk
Functional: GGA-PBE
Structure: relaxed

Cell lengths 7.168, 7.168, 7.168 Å; angles 90.00, 90.00, 90.00 degrees
Sites, in units of the cell vectors:
Pb (0.500, 0.500, 0.500)
Pb (0.000, 0.000, 0.000)
Hg (0.250, 0.000, 0.500)
Hg (0.000, 0.500, 0.250)
Hg (0.500, 0.750, 0.000)
Hg (0.750, 0.000, 0.500)
Hg (0.000, 0.500, 0.750)
Hg (0.500, 0.250, 0.000)
Li (0.000, 0.250, 0.500)
Li (0.000, 0.750, 0.500)
Li (0.500, 0.000, 0.750)
Li (0.750, 0.500, 0.000)
Li (0.500, 0.000, 0.250)
Li (0.250, 0.500, 0.000)

- Symmetry: No. 223
- ΔH_f (0 K): 0.031 eV per atom
- Distance to the lowest polymorph of the same formula: 2.22 eV/f.u.
- Total moment: 0.00 μB per formula unit



No. 7
Compound: IrRu2Au
Source: Alexandria via LeMat-Bulk
Functional: GGA-PBE
Structure: relaxed

Cell lengths 4.829, 4.829, 4.829 Å; angles 132.63, 132.63, 69.24 degrees
Sites, in units of the cell vectors:
Au (0.250, 0.750, 0.500)
Ir (0.750, 0.250, 0.500)
Ru (0.000, 0.000, 0.000)
Ru (0.500, 0.500, 0.000)

- Symmetry: No. 139
- ΔH_f (0 K): 0.359 eV per atom
- Distance to the lowest polymorph of the same formula: 0.58 eV/f.u.
- Total moment: 0.00 μB per formula unit



No. 8
Compound: KCdPt2
Source: Alexandria via LeMat-Bulk
Functional: GGA-PBE
Structure: relaxed

Cell lengths 2.975, 2.975, 9.487 Å; angles 90.00, 90.00, 90.01 degrees
Sites, in units of the cell vectors:
Cd (0.000, 0.000, 0.443)
K (0.500, 0.500, 0.779)
Pt (0.000, 0.000, 0.041)
Pt (0.500, 0.500, 0.237)

- Symmetry: No. 99
- ΔH_f (0 K): 0.091 eV per atom
- Distance to the lowest polymorph of the same formula: 1.21 eV/f.u.
- Total moment: 0.00 μB per formula unit



No. 9
Compound: Pu3HO3
Source: Alexandria via LeMat-Bulk
Functional: GGA-PBE
Structure: relaxed

Cell lengths 6.472, 6.472, 6.472 Å; angles 65.90, 65.90, 65.90 degrees
Site moments in Bohr magnetons follow the coordinates.
Sites, in units of the cell vectors:
Pu (0.570, 0.261, 0.925)  5.43
Pu (0.261, 0.925, 0.570)  5.43
Pu (0.925, 0.570, 0.261)  5.43
Pu (0.075, 0.430, 0.739)  5.43
Pu (0.739, 0.075, 0.430)  5.43
Pu (0.430, 0.739, 0.075)  5.43
H (0.329, 0.329, 0.329)  -0.04
H (0.671, 0.671, 0.671)  -0.04
O (0.771, 0.407, 0.098)  -0.11
O (0.098, 0.771, 0.407)  -0.11
O (0.407, 0.098, 0.771)  -0.11
O (0.593, 0.902, 0.229)  -0.11
O (0.902, 0.229, 0.593)  -0.11
O (0.229, 0.593, 0.902)  -0.11

- E: -153.15 eV/cell
- Symmetry: No. 148
- Total moment: 16.99 μB per formula unit



Q: Which value of total moment does entry 6 give?
A: 0.00 μB per formula unit



Q: The highest total moment belongs to which entry?
A: Pu3HO3



Q: Look up the total moment of the second one.
A: 0.68 μB per formula unit